No. 1
Entry from the Alexandria database: an optimized crystal structure of HgSb3Pd (PBEsol).

Structure (CIF):
```
data_HgSb3Pd
_space_group_name_H-M_alt 'P m -3 m'
_space_group_IT_number 221
_space_group_name_Hall '-P 4 2 3'
_cell_length_a 5.178
_cell_length_b 5.178
_cell_length_c 5.178
_cell_angle_alpha 90.00
_cell_angle_beta 90.00
_cell_angle_gamma 90.00
loop_
_atom_site_label
_atom_site_type_symbol
_atom_site_fract_x
_atom_site_fract_y
_atom_site_fract_z
Hg1 Hg 0.000 0.000 0.000
Sb1 Sb 0.000 0.500 0.500
Pd1 Pd 0.500 0.500 0.500
```

Output
E_form (uncorrected) (kJ/mol of formula units): 174
Magnetization (μB per atom): 0.0001
Calculated volume (Å³/cell): 139
Energy (eV per atom): -3.68

---

No. 2
Entry from the Alexandria database: an optimized crystal structure of In3CoC (PBEsol).

Structure (CIF):
```
data_In3CoC
_space_group_name_H-M_alt 'P m -3 m'
_space_group_IT_number 221
_space_group_name_Hall '-P 4 2 3'
_cell_length_a 4.566
_cell_length_b 4.566
_cell_length_c 4.566
_cell_angle_alpha 90.00
_cell_angle_beta 90.00
_cell_angle_gamma 90.00
loop_
_atom_site_label
_atom_site_type_symbol
_atom_site_fract_x
_atom_site_fract_y
_atom_site_fract_z
In1 In 0.000 0.000 0.500
Co1 Co 0.500 0.500 0.500
C1 C 0.000 0.000 0.000
```

Output
Distance to the lowest polymorph of the same formula (kJ per mole of atoms): 0.0
Magnetization (μB per atom): 0.2934
DFT formation energy (eV/atom): 1.17
Calculated volume (Å³/cell): 95
Energy (eV per atom): -4.09

---

No. 3
Entry from the Alexandria database: an optimized crystal structure of KPtCl2 (PBEsol).

Structure (CIF):
```
data_KPtCl2
_space_group_name_H-M_alt 'F m -3 m'
_space_group_IT_number 225
_space_group_name_Hall '-F 4 2 3'
_cell_length_a 6.843
_cell_length_b 6.843
_cell_length_c 6.843
_cell_angle_alpha 90.00
_cell_angle_beta 90.00
_cell_angle_gamma 90.00
loop_
_atom_site_label
_atom_site_type_symbol
_atom_site_fract_x
_atom_site_fract_y
_atom_site_fract_z
K1 K 0.000 0.000 0.000
Pt1 Pt 0.000 0.000 0.500
Cl1 Cl 0.250 0.250 0.250
```

Output
Distance to the lowest polymorph of the same formula (kJ per mole of atoms): 10.4
E_form (uncorrected) (kJ/mol of formula units): -83
Magnetization (μB per atom): 0.2580
Calculated volume (Å³/cell): 320
Energy (eV per atom): -3.24

---

No. 4
Entry from the Alexandria database: an optimized crystal structure of RhAuBr2 (PBEsol).

Structure (CIF):
```
data_RhAuBr2
_space_group_name_H-M_alt 'I m m 2'
_space_group_IT_number 44
_cell_length_a 3.050
_cell_length_b 4.469
_cell_length_c 11.918
_cell_angle_alpha 90.00
_cell_angle_beta 90.00
_cell_angle_gamma 90.00
loop_
_space_group_symop_operation_xyz
'x,y,z'
'-x,-y,z'
'-x,y,z'
'x,-y,z'
'x+1/2,y+1/2,z+1/2'
'-x+1/2,-y+1/2,z+1/2'
'-x+1/2,y+1/2,z+1/2'
'x+1/2,-y+1/2,z+1/2'
loop_
_atom_site_label
_atom_site_type_symbol
_atom_site_fract_x
_atom_site_fract_y
_atom_site_fract_z
Rh1 Rh 0.000 0.000 0.000
Au1 Au 0.000 0.500 0.690
Br1 Br 0.000 0.000 0.525
Br2 Br 0.000 0.500 0.328
```

Output
E_form (uncorrected) (kJ/mol of formula units): 138
Magnetization (μB per atom): 0.0001
Calculated volume (Å³/cell): 162
Energy (eV per atom): -3.59